Arrangement w

# Tb6PmSm4 (GGA-PBE, optimized geometry)
# - size of the total moment (Bohr magnetons per cell) = 0.00
# - theoretical density (g/cm³) = 7.47
data_Tb6PmSm4
_chemical_formula_sum 'Tb6 Pm1 Sm4'
_space_group_name_H-M_alt 'P 1'
_space_group_IT_number 1
_space_group_name_Hall 'P 1'
_cell_length_a 9.7527
_cell_length_b 9.7527
_cell_length_c 9.7527
_cell_angle_alpha 57.64
_cell_angle_beta 140.14
_cell_angle_gamma 140.14
loop_
_atom_site_label
_atom_site_fract_x
_atom_site_fract_y
_atom_site_fract_z
_atom_site_occupancy
Tb1 0.0000 0.4492 0.8055 1
Tb2 0.0000 0.8055 0.4492 1
Tb3 0.5000 0.5000 0.0000 1
Tb4 0.3563 0.5508 0.5508 1
Tb5 0.6437 0.1945 0.1945 1
Tb6 0.5000 0.0000 0.5000 1
Sm1 0.0000 0.0136 0.6354 1
Sm2 0.0000 0.6354 0.0136 1
Sm3 0.3782 0.3646 0.3646 1
Sm4 0.6218 0.9864 0.9864 1
Pm1 0.0000 0.0000 0.0000 1



Arrangement x

# Tb6PmSm4 (GGA-PBE, optimized geometry)
# - size of the total moment (Bohr magnetons per cell) = 0.00
# - theoretical density (g/cm³) = 7.26
data_Tb6PmSm4
_chemical_formula_sum 'Tb6 Pm1 Sm4'
_space_group_name_H-M_alt 'P 1'
_space_group_IT_number 1
_space_group_name_Hall 'P 1'
_cell_length_a 7.6966
_cell_length_b 7.6966
_cell_length_c 8.5289
_cell_angle_alpha 116.82
_cell_angle_beta 116.82
_cell_angle_gamma 90.00
loop_
_atom_site_label
_atom_site_fract_x
_atom_site_fract_y
_atom_site_fract_z
_atom_site_occupancy
Sm1 0.0950 0.7526 0.8476 1
Sm2 0.7526 0.0950 0.8476 1
Sm3 0.9050 0.9050 0.1524 1
Sm4 0.2474 0.2474 0.1524 1
Tb1 0.0000 0.5000 0.0000 1
Tb2 0.9286 0.4436 0.3722 1
Tb3 0.4436 0.9286 0.3722 1
Tb4 0.5564 0.5564 0.6278 1
Tb5 0.0714 0.0714 0.6278 1
Tb6 0.5000 0.0000 0.0000 1
Pm1 0.5000 0.5000 0.0000 1



Relative energies, in kJ/mol of atoms, with the most stable structure set to zero: arrangement w 0.0; arrangement x 11.5.